Ce3Sm2ThS6: optimized geometry, PBE.

Computed properties:
formation energy without anion corrections	-2.007	eV/atom

```
data_Ce3Sm2ThS6
_cell_length_a 17.527
_cell_length_b 4.023
_cell_length_c 8.040
_cell_angle_alpha 90.00
_cell_angle_beta 103.19
_cell_angle_gamma 90.00
_space_group_name_H-M_alt 'C 1 2/m 1'
_space_group_IT_number 12
_space_group_name_Hall '-C 2y'
loop_
_atom_site_label
_atom_site_fract_x
_atom_site_fract_y
_atom_site_fract_z
Ce1 0.000 0.000 0.000
Ce2 0.166 0.500 0.334
Sm1 0.167 0.500 0.833
Th1 0.000 0.000 0.500
S1 0.001 0.500 0.752
S2 0.167 0.000 0.083
S3 0.168 0.000 0.586
```



SiHg2Pb: optimized geometry, PBE.

Computed properties:
formation energy without anion corrections	0.370	eV/atom

```
data_SiHg2Pb
_cell_length_a 4.475
_cell_length_b 4.475
_cell_length_c 9.790
_cell_angle_alpha 90.00
_cell_angle_beta 90.00
_cell_angle_gamma 90.00
_space_group_name_H-M_alt 'I -4 m 2'
_space_group_IT_number 119
_space_group_name_Hall 'I -4 -2'
loop_
_atom_site_label
_atom_site_fract_x
_atom_site_fract_y
_atom_site_fract_z
Si1 0.000 0.000 0.000
Hg1 0.000 0.000 0.500
Hg2 0.000 0.500 0.750
Pb1 0.000 0.500 0.250
```



SrCuTeO5: optimized geometry, PBE.

Computed properties:
formation energy without anion corrections	-1.424	eV/atom

```
data_SrCuTeO5
_cell_length_a 6.498
_cell_length_b 9.631
_cell_length_c 7.471
_cell_angle_alpha 90.00
_cell_angle_beta 110.11
_cell_angle_gamma 90.00
_space_group_name_H-M_alt 'C 1 2/c 1'
_space_group_IT_number 15
_space_group_name_Hall '-C 2yc'
loop_
_atom_site_label
_atom_site_fract_x
_atom_site_fract_y
_atom_site_fract_z
Sr1 0.000 0.167 0.250
Cu1 0.000 0.181 0.750
Te1 0.000 0.500 0.000
O1 0.000 0.430 0.250
O2 0.080 0.309 0.583
O3 0.190 0.043 0.933
```



PmDyHgBi: optimized geometry, PBE.

Computed properties:
energy of formation from the pure elements	-0.526	eV/atom

```
data_PmDyHgBi
_cell_length_a 7.674
_cell_length_b 7.674
_cell_length_c 7.674
_cell_angle_alpha 90.00
_cell_angle_beta 90.00
_cell_angle_gamma 90.00
_space_group_name_H-M_alt 'F -4 3 m'
_space_group_IT_number 216
_space_group_name_Hall 'F -4 2 3'
loop_
_atom_site_label
_atom_site_fract_x
_atom_site_fract_y
_atom_site_fract_z
Pm1 0.000 0.000 0.000
Dy1 0.000 0.000 0.500
Hg1 0.250 0.250 0.250
Bi1 0.250 0.250 0.750
```



MnBe2Br: optimized geometry, PBE.

Computed properties:
formation energy without anion corrections	0.375	eV/atom

```
data_MnBe2Br
_cell_length_a 3.048
_cell_length_b 3.381
_cell_length_c 6.155
_cell_angle_alpha 90.00
_cell_angle_beta 104.28
_cell_angle_gamma 90.00
_space_group_name_H-M_alt 'P 1 m 1'
_space_group_IT_number 6
_space_group_name_Hall 'P -2y'
loop_
_atom_site_label
_atom_site_fract_x
_atom_site_fract_y
_atom_site_fract_z
Mn1 0.000 0.000 0.000
Be1 0.541 0.500 0.083
Be2 0.660 0.000 0.318
Br1 0.784 0.500 0.572
```



TiSb2TeCl: optimized geometry, PBE.

Computed properties:
formation energy without anion corrections	0.880	eV/atom

```
data_TiSb2TeCl
_cell_length_a 5.157
_cell_length_b 5.157
_cell_length_c 5.410
_cell_angle_alpha 90.00
_cell_angle_beta 90.00
_cell_angle_gamma 90.00
_space_group_name_H-M_alt 'P 4/m m m'
_space_group_IT_number 123
_space_group_name_Hall '-P 4 2'
loop_
_atom_site_label
_atom_site_fract_x
_atom_site_fract_y
_atom_site_fract_z
Ti1 0.000 0.000 0.000
Sb1 0.000 0.500 0.500
Te1 0.500 0.500 0.000
Cl1 0.500 0.500 0.500
```



BaTa2In: optimized geometry, PBE.

Computed properties:
energy of formation from the pure elements	0.483	eV/atom

```
data_BaTa2In
_cell_length_a 3.672
_cell_length_b 5.064
_cell_length_c 10.510
_cell_angle_alpha 90.00
_cell_angle_beta 90.00
_cell_angle_gamma 90.00
_space_group_name_H-M_alt 'C m m 2'
_space_group_IT_number 35
_space_group_name_Hall 'C 2 -2'
loop_
_atom_site_label
_atom_site_fract_x
_atom_site_fract_y
_atom_site_fract_z
Ba1 0.000 0.000 0.000
Ta1 0.000 0.000 0.482
Ta2 0.000 0.500 0.292
In1 0.000 0.500 0.709
```



| no. | Fermi-level density of states (states/eV per atom) |
| --- | --- |
| 1 | 1.440 |
| 2 | 0.361 |
| 3 | 0.373 |
| 4 | 0.909 |
| 5 | 0.367 |
| 6 | 1.419 |
| 7 | 1.012 |